# 1
Here is a relaxed La2MgBeRh crystal from Alexandria. Energies are from PBE.

Cell: 5.335 4.508 5.335 Å, 90.00 90.00 90.00°
Fractional coordinates of all 5 atoms:
1 Be 0.000 0.000 0.000
2 La 0.500 0.000 0.000
3 La 0.000 0.000 0.500
4 Mg 0.000 0.500 0.000
5 Rh 0.500 0.500 0.500

## Properties
- total DFT energy (no corrections) (eV per atom) = -4.24
- formation energy from the elements (meV/atom) = 266
- symmetry = P4/mmm
- theoretical density (kg/m3) = 5358

=====

# 2
Here is a relaxed LaMgBe2S crystal from Alexandria. Energies are from PBE.

Cell: 4.424 6.268 4.424 Å, 90.00 90.00 90.00°
Fractional coordinates of all 5 atoms:
1 Be 0.500 0.000 0.000
2 Be 0.000 0.000 0.500
3 Mg 0.000 0.000 0.000
4 La 0.000 0.500 0.000
5 S 0.500 0.500 0.500

## Properties
- total DFT energy (no corrections) (eV per atom) = -3.06
- symmetry = P4/mmm
- theoretical density (kg/m3) = 2888
- E_form (uncorrected) (eV per atom) = 0.563

=====

- The lowest total DFT energy (no corrections) belongs to which entry?
  La2MgBeRh

=====

Please write out number 1 again, unchanged.
Here is a relaxed La2MgBeRh crystal from Alexandria. Energies are from PBE.

Cell: 5.335 4.508 5.335 Å, 90.00 90.00 90.00°
Fractional coordinates of all 5 atoms:
1 Be 0.000 0.000 0.000
2 La 0.500 0.000 0.000
3 La 0.000 0.000 0.500
4 Mg 0.000 0.500 0.000
5 Rh 0.500 0.500 0.500

## Properties
- total DFT energy (no corrections) (eV per atom) = -4.24
- formation energy from the elements (meV/atom) = 266
- symmetry = P4/mmm
- theoretical density (kg/m3) = 5358

=====

- What is the theoretical density in the first record?
  5358 kg/m3